No. 1
# SrBeP3 | Alexandria | PBE | optimized geometry
# **Final energy**: -12.5 eV for the cell shown
# **Fermi-level density of states**: 3.69 states/eV/f.u.
# **ΔH_f (0 K)**: 1.82 eV per atom
# **Space-group type**: No. 221
data_SrBeP3
_chemical_formula_sum 'Sr1 Be1 P3'
_cell_length_a 5.440
_cell_length_b 5.440
_cell_length_c 5.440
_cell_angle_alpha 90.00
_cell_angle_beta 90.00
_cell_angle_gamma 90.00
_symmetry_space_group_name_H-M 'P 1'
_symmetry_Int_Tables_number 1
loop_
_symmetry_equiv_pos_as_xyz
'x,y,z'
loop_
_atom_site_label
_atom_site_type_symbol
_atom_site_fract_x
_atom_site_fract_y
_atom_site_fract_z
Sr1 Sr 0.000 0.000 0.000
Be1 Be 0.500 0.500 0.500
P1 P 0.000 0.000 0.500
P2 P 0.000 0.500 0.000
P3 P 0.500 0.000 0.000



No. 2
# Nd4GePbN | Alexandria | PBE | optimized geometry
# **Final energy**: -82.5 eV for the cell shown
# **Fermi-level density of states**: 4.07 states/eV/f.u.
# **Space-group type**: No. 63
# **Formation energy without anion corrections**: -791 meV per atom
data_Nd4GePbN
_chemical_formula_sum 'Nd8 Ge2 Pb2 N2'
_cell_length_a 8.832
_cell_length_b 8.832
_cell_length_c 6.906
_cell_angle_alpha 90.00
_cell_angle_beta 90.00
_cell_angle_gamma 134.04
_symmetry_space_group_name_H-M 'P 1'
_symmetry_Int_Tables_number 1
loop_
_symmetry_equiv_pos_as_xyz
'x,y,z'
loop_
_atom_site_label
_atom_site_type_symbol
_atom_site_fract_x
_atom_site_fract_y
_atom_site_fract_z
Nd1 Nd 0.000 0.500 0.000
Nd2 Nd 0.000 0.500 0.500
Nd3 Nd 0.081 0.919 0.750
Nd4 Nd 0.409 0.591 0.750
Nd5 Nd 0.500 0.000 0.000
Nd6 Nd 0.500 0.000 0.500
Nd7 Nd 0.591 0.409 0.250
Nd8 Nd 0.919 0.081 0.250
Ge1 Ge 0.115 0.885 0.250
Ge2 Ge 0.885 0.115 0.750
Pb1 Pb 0.395 0.605 0.250
Pb2 Pb 0.605 0.395 0.750
N1 N 0.246 0.754 0.750
N2 N 0.754 0.246 0.250



No. 3
# LiPaBi2 | Alexandria | PBE | optimized geometry
# **Final energy**: -19.8 eV for the cell shown
# **Fermi-level density of states**: 1.84 states/eV/f.u.
# **ΔH_f (0 K)**: -0.16 eV per atom
# **Space-group type**: No. 225
data_LiPaBi2
_chemical_formula_sum 'Li1 Pa1 Bi2'
_cell_length_a 5.350
_cell_length_b 5.350
_cell_length_c 5.350
_cell_angle_alpha 60.00
_cell_angle_beta 60.00
_cell_angle_gamma 60.00
_symmetry_space_group_name_H-M 'P 1'
_symmetry_Int_Tables_number 1
loop_
_symmetry_equiv_pos_as_xyz
'x,y,z'
loop_
_atom_site_label
_atom_site_type_symbol
_atom_site_fract_x
_atom_site_fract_y
_atom_site_fract_z
Li1 Li 0.000 0.000 0.000
Pa1 Pa 0.500 0.500 0.500
Bi1 Bi 0.250 0.250 0.250
Bi2 Bi 0.750 0.750 0.750



No. 4
# AcSmPtRh | Alexandria | PBE | optimized geometry
# **Final energy**: -25.9 eV for the cell shown
# **Fermi-level density of states**: 2.22 states/eV/f.u.
# **ΔH_f (0 K)**: -0.93 eV per atom
# **Space-group type**: No. 38
data_AcSmPtRh
_chemical_formula_sum 'Ac1 Sm1 Pt1 Rh1'
_cell_length_a 4.454
_cell_length_b 5.920
_cell_length_c 5.920
_cell_angle_alpha 39.90
_cell_angle_beta 90.00
_cell_angle_gamma 90.00
_symmetry_space_group_name_H-M 'P 1'
_symmetry_Int_Tables_number 1
loop_
_symmetry_equiv_pos_as_xyz
'x,y,z'
loop_
_atom_site_label
_atom_site_type_symbol
_atom_site_fract_x
_atom_site_fract_y
_atom_site_fract_z
Ac1 Ac 0.000 0.000 0.000
Sm1 Sm 0.500 0.722 0.722
Pt1 Pt 0.500 0.440 0.440
Rh1 Rh 0.000 0.265 0.265



No. 5
# PrTcC2 | Alexandria | PBE | optimized geometry
# **Final energy**: -32.2 eV for the cell shown
# **Fermi-level density of states**: 2.64 states/eV/f.u.
# **ΔH_f (0 K)**: 0.36 eV per atom
# **Space-group type**: No. 166
data_PrTcC2
_chemical_formula_sum 'Pr1 Tc1 C2'
_cell_length_a 5.979
_cell_length_b 5.979
_cell_length_c 5.979
_cell_angle_alpha 32.19
_cell_angle_beta 32.19
_cell_angle_gamma 32.19
_symmetry_space_group_name_H-M 'P 1'
_symmetry_Int_Tables_number 1
loop_
_symmetry_equiv_pos_as_xyz
'x,y,z'
loop_
_atom_site_label
_atom_site_type_symbol
_atom_site_fract_x
_atom_site_fract_y
_atom_site_fract_z
Pr1 Pr 0.000 0.000 0.000
Tc1 Tc 0.500 0.500 0.500
C1 C 0.231 0.231 0.231
C2 C 0.769 0.769 0.769



No. 6
# CaCd | Alexandria | PBE | optimized geometry
# **Final energy**: -12.5 eV for the cell shown
# **Fermi-level density of states**: 2.21 states/eV/f.u.
# **ΔH_f (0 K)**: 0.42 eV per atom
# **Space-group type**: No. 223
data_CaCd
_chemical_formula_sum 'Ca6 Cd6'
_cell_length_a 8.847
_cell_length_b 8.847
_cell_length_c 8.847
_cell_angle_alpha 90.00
_cell_angle_beta 90.00
_cell_angle_gamma 90.00
_symmetry_space_group_name_H-M 'P 1'
_symmetry_Int_Tables_number 1
loop_
_symmetry_equiv_pos_as_xyz
'x,y,z'
loop_
_atom_site_label
_atom_site_type_symbol
_atom_site_fract_x
_atom_site_fract_y
_atom_site_fract_z
Ca1 Ca 0.000 0.250 0.500
Ca2 Ca 0.000 0.750 0.500
Ca3 Ca 0.250 0.500 0.000
Ca4 Ca 0.500 0.000 0.250
Ca5 Ca 0.500 0.000 0.750
Ca6 Ca 0.750 0.500 0.000
Cd1 Cd 0.000 0.500 0.250
Cd2 Cd 0.000 0.500 0.750
Cd3 Cd 0.250 0.000 0.500
Cd4 Cd 0.500 0.250 0.000
Cd5 Cd 0.500 0.750 0.000
Cd6 Cd 0.750 0.000 0.500